Record 1
{
  "formula": "RbRuRh",
  "functional": "PBE-GGA",
  "state": "optimized geometry",
  "lattice_angstrom": [[4.6524, 0.0000, 0.0000], [1.6843, 4.3564, 0.0000], [0.1497, 1.8848, 10.5099]],
  "species": ["Rb", "Rb", "Ru", "Ru", "Rh", "Rh"],
  "frac_coords": [[0.0000, 0.0000, 0.0000], [0.4370, 0.2474, 0.4055], [0.4576, 0.6477, 0.6576], [0.9690, 0.6090, 0.7478], [0.4693, 0.1085, 0.7486], [0.9580, 0.1485, 0.6568]],
  "formation_energy_ev_per_atom": 0.555
}


Record 2
{
  "formula": "Sc5Ru2",
  "functional": "PBE-GGA",
  "state": "optimized geometry",
  "lattice_angstrom": [[7.2885, -2.9197, 0.0000], [7.2885, 2.9197, 0.0000], [-0.8939, 0.0000, 6.8859]],
  "species": ["Sc", "Sc", "Sc", "Sc", "Sc", "Sc", "Sc", "Sc", "Sc", "Sc", "Ru", "Ru", "Ru", "Ru"],
  "frac_coords": [[0.0908, 0.9092, 0.7500], [0.1407, 0.2968, 0.3169], [0.2843, 0.5300, 0.0826], [0.2968, 0.1407, 0.8169], [0.4700, 0.7157, 0.4174], [0.5300, 0.2843, 0.5826], [0.7032, 0.8593, 0.1831], [0.7157, 0.4700, 0.9174], [0.8593, 0.7032, 0.6831], [0.9092, 0.0908, 0.2500], [0.1003, 0.6800, 0.4213], [0.3200, 0.8997, 0.0787], [0.6800, 0.1003, 0.9213], [0.8997, 0.3200, 0.5787]],
  "formation_energy_ev_per_atom": -0.404
}


Record 3
{
  "formula": "AcLa2Si2Ni2",
  "functional": "PBE-GGA",
  "state": "optimized geometry",
  "lattice_angstrom": [[2.1334, 1.2317, 10.2275], [-2.1334, 1.2317, 10.2275], [0.0000, -2.4635, 10.2275]],
  "species": ["Ac", "La", "La", "Si", "Si", "Ni", "Ni"],
  "frac_coords": [[0.0000, 0.0000, 0.0000], [0.1267, 0.1267, 0.1267], [0.8733, 0.8733, 0.8733], [0.2611, 0.2611, 0.2611], [0.7389, 0.7389, 0.7389], [0.4025, 0.4025, 0.4025], [0.5975, 0.5975, 0.5975]],
  "e_form_raw_ev_per_atom": -0.57
}


Record 4
{
  "formula": "Tb2PmNd2Dy2",
  "functional": "PBE-GGA",
  "state": "optimized geometry",
  "lattice_angstrom": [[5.6911, -2.5463, 0.0000], [5.6911, 2.5463, 0.0000], [-1.1397, 0.0000, 7.9842]],
  "species": ["Tb", "Tb", "Pm", "Nd", "Nd", "Dy", "Dy"],
  "frac_coords": [[0.0713, 0.0713, 0.2163], [0.9287, 0.9287, 0.7837], [0.5000, 0.5000, 0.5000], [0.3572, 0.3572, 0.0716], [0.6428, 0.6428, 0.9284], [0.2149, 0.2149, 0.6408], [0.7851, 0.7851, 0.3592]],
  "formation_energy_ev_per_atom": 0.016
}


Record 5
{
  "formula": "Ti2CuAu6",
  "functional": "PBE-GGA",
  "state": "optimized geometry",
  "lattice_angstrom": [[4.9244, -3.8277, 0.0000], [4.9244, 3.8277, 0.0000], [-2.3377, 0.0000, 4.2119]],
  "species": ["Ti", "Ti", "Cu", "Au", "Au", "Au", "Au", "Au", "Au"],
  "frac_coords": [[0.1727, 0.1727, 0.1728], [0.8273, 0.8273, 0.8272], [0.5000, 0.5000, 0.5000], [0.0221, 0.6506, 0.3363], [0.3130, 0.6870, 0.0000], [0.3494, 0.9779, 0.6637], [0.6506, 0.0221, 0.3363], [0.6870, 0.3130, 0.0000], [0.9779, 0.3494, 0.6637]],
  "formation_energy_ev_per_atom": -0.101
}


Record 6
{
  "formula": "TbSmCuNi",
  "functional": "PBE-GGA",
  "state": "optimized geometry",
  "lattice_angstrom": [[4.4305, 0.0000, 0.0000], [0.0000, 1.8806, 5.1773], [0.0000, -1.8806, 5.1773]],
  "species": ["Tb", "Sm", "Cu", "Ni"],
  "frac_coords": [[0.0000, 0.0000, 0.0000], [0.5000, 0.2779, 0.2779], [0.0000, 0.7080, 0.7080], [0.5000, 0.5665, 0.5665]],
  "formation_energy_ev_per_atom": -0.313
}


Record 7
{
  "formula": "AcNdCI",
  "functional": "PBE-GGA",
  "state": "optimized geometry",
  "lattice_angstrom": [[1.9840, 1.1455, 8.1329], [-1.9840, 1.1455, 8.1329], [0.0000, -2.2910, 8.1329]],
  "species": ["Ac", "Nd", "C", "I"],
  "frac_coords": [[0.0000, 0.0000, 0.0000], [0.2162, 0.2162, 0.2162], [0.6031, 0.6031, 0.6031], [0.7814, 0.7814, 0.7814]],
  "e_form_raw_ev_per_atom": -0.62
}


Record 8
{
  "formula": "Ca2InFeN",
  "functional": "PBE-GGA",
  "state": "optimized geometry",
  "lattice_angstrom": [[5.1382, 0.0000, 0.0000], [0.0000, 5.1382, 0.0000], [0.0000, 0.0000, 3.6221]],
  "species": ["Ca", "Ca", "In", "Fe", "N"],
  "frac_coords": [[0.0000, 0.5000, 0.0000], [0.5000, 0.0000, 0.0000], [0.0000, 0.0000, 0.5000], [0.5000, 0.5000, 0.5000], [0.5000, 0.5000, 0.0000]],
  "e_form_raw_ev_per_atom": -0.43
}


Record 9
{
  "formula": "LaY3Mn",
  "functional": "PBE-GGA",
  "state": "optimized geometry",
  "lattice_angstrom": [[5.3883, 0.0000, 0.0000], [0.0000, 5.3883, 0.0000], [0.0000, 0.0000, 5.3883]],
  "species": ["La", "Y", "Y", "Y", "Mn"],
  "frac_coords": [[0.0000, 0.0000, 0.0000], [0.0000, 0.5000, 0.5000], [0.5000, 0.0000, 0.5000], [0.5000, 0.5000, 0.0000], [0.5000, 0.5000, 0.5000]],
  "formation_energy_ev_per_atom": 0.207
}


Record 10
{
  "formula": "TlCd2",
  "functional": "PBE-GGA",
  "state": "optimized geometry",
  "lattice_angstrom": [[5.9951, -1.6529, 0.0000], [5.9951, 1.6529, 0.0000], [-2.8983, 0.0000, 8.0401]],
  "species": ["Tl", "Tl", "Cd", "Cd", "Cd", "Cd"],
  "frac_coords": [[0.0000, 0.0000, 0.0000], [0.6522, 0.6522, 0.3651], [0.3026, 0.3026, 0.1343], [0.3319, 0.3319, 0.6842], [0.6457, 0.6457, 0.7865], [0.9526, 0.9526, 0.4746]],
  "formation_energy_ev_per_atom": 0.047
}


Record 11
{
  "formula": "Li3AgHg5",
  "functional": "PBE-GGA",
  "state": "optimized geometry",
  "lattice_angstrom": [[8.3230, 0.0000, 0.0000], [-4.1615, 7.2079, 0.0000], [0.0000, 0.0000, 5.9618]],
  "species": ["Li", "Li", "Li", "Li", "Li", "Li", "Ag", "Ag", "Hg", "Hg", "Hg", "Hg", "Hg", "Hg", "Hg", "Hg", "Hg", "Hg"],
  "frac_coords": [[0.0000, 0.3525, 0.2500], [0.0000, 0.6475, 0.7500], [0.3525, 0.0000, 0.2500], [0.3525, 0.3525, 0.7500], [0.6475, 0.0000, 0.7500], [0.6475, 0.6475, 0.2500], [0.0000, 0.0000, 0.0000], [0.0000, 0.0000, 0.5000], [0.0000, 0.3103, 0.7500], [0.0000, 0.6897, 0.2500], [0.3103, 0.0000, 0.7500], [0.3103, 0.3103, 0.2500], [0.3333, 0.6667, 0.0000], [0.3333, 0.6667, 0.5000], [0.6667, 0.3333, 0.0000], [0.6667, 0.3333, 0.5000], [0.6897, 0.0000, 0.2500], [0.6897, 0.6897, 0.7500]],
  "formation_energy_ev_per_atom": -0.235
}


Record 12
{
  "formula": "CePm5Nd4",
  "functional": "PBE-GGA",
  "state": "optimized geometry",
  "lattice_angstrom": [[9.1434, -2.5378, 0.0000], [9.1434, 2.5378, 0.0000], [-4.0938, 0.0000, 7.8452]],
  "species": ["Ce", "Pm", "Pm", "Pm", "Pm", "Pm", "Nd", "Nd", "Nd", "Nd"],
  "frac_coords": [[0.0000, 0.0000, 0.0000], [0.0000, 0.0000, 0.5000], [0.3284, 0.3284, 0.3849], [0.3361, 0.3361, 0.7860], [0.6639, 0.6639, 0.2140], [0.6716, 0.6716, 0.6151], [0.1772, 0.1772, 0.9312], [0.4668, 0.4668, 0.2169], [0.5332, 0.5332, 0.7831], [0.8228, 0.8228, 0.0688]],
  "formation_energy_ev_per_atom": 0.251
}


Record 13
{
  "formula": "HgIrW2",
  "functional": "PBE-GGA",
  "state": "optimized geometry",
  "lattice_angstrom": [[-1.9447, 1.9447, 4.3627], [1.9447, -1.9447, 4.3627], [1.9447, 1.9447, -4.3627]],
  "species": ["Hg", "Ir", "W", "W"],
  "frac_coords": [[0.0000, 0.0000, 0.0000], [0.5000, 0.5000, 0.0000], [0.2500, 0.7500, 0.5000], [0.7500, 0.2500, 0.5000]],
  "formation_energy_ev_per_atom": 0.527
}


Record 14
{
  "formula": "Nb2RuAu",
  "functional": "PBE-GGA",
  "state": "optimized geometry",
  "lattice_angstrom": [[1.4186, 0.8190, 10.2433], [-1.4186, 0.8190, 10.2433], [0.0000, -1.6380, 10.2433]],
  "species": ["Nb", "Nb", "Ru", "Au"],
  "frac_coords": [[0.0934, 0.0934, 0.0934], [0.9066, 0.9066, 0.9066], [0.5000, 0.5000, 0.5000], [0.0000, 0.0000, 0.0000]],
  "formation_energy_ev_per_atom": 0.274
}


Record 15
{
  "formula": "LaMgGa4Pd2",
  "functional": "PBE-GGA",
  "state": "optimized geometry",
  "lattice_angstrom": [[2.1932, 1.2662, 9.1962], [-2.1932, 1.2662, 9.1962], [0.0000, -2.5325, 9.1962]],
  "species": ["La", "Mg", "Ga", "Ga", "Ga", "Ga", "Pd", "Pd"],
  "frac_coords": [[0.0000, 0.0000, 0.0000], [0.5000, 0.5000, 0.5000], [0.1205, 0.1205, 0.1205], [0.3988, 0.3988, 0.3988], [0.6012, 0.6012, 0.6012], [0.8795, 0.8795, 0.8795], [0.2273, 0.2273, 0.2273], [0.7727, 0.7727, 0.7727]],
  "formation_energy_ev_per_atom": -0.583
}


Record 16
{
  "formula": "Nd8Er2Tl",
  "functional": "PBE-GGA",
  "state": "optimized geometry",
  "lattice_angstrom": [[9.1997, -2.5313, 0.0000], [9.1997, 2.5313, 0.0000], [-2.2033, 0.0000, 7.8132]],
  "species": ["Nd", "Nd", "Nd", "Nd", "Nd", "Nd", "Nd", "Nd", "Er", "Er", "Tl"],
  "frac_coords": [[0.0454, 0.0454, 0.2263], [0.1370, 0.1370, 0.6806], [0.3204, 0.3204, 0.5914], [0.4089, 0.4089, 0.0562], [0.5911, 0.5911, 0.9438], [0.6796, 0.6796, 0.4086], [0.8630, 0.8630, 0.3194], [0.9546, 0.9546, 0.7737], [0.2248, 0.2248, 0.1328], [0.7752, 0.7752, 0.8672], [0.5000, 0.5000, 0.5000]],
  "formation_energy_ev_per_atom": -0.043
}


Record 17
{
  "formula": "ScBiS2",
  "functional": "PBE-GGA",
  "state": "optimized geometry",
  "lattice_angstrom": [[3.8216, -3.8609, 0.0000], [3.8216, 3.8609, 0.0000], [-2.2619, 0.0000, 6.0259]],
  "species": ["Sc", "Sc", "Bi", "Bi", "S", "S", "S", "S"],
  "frac_coords": [[0.1752, 0.8248, 0.7500], [0.8248, 0.1752, 0.2500], [0.3183, 0.6817, 0.2500], [0.6817, 0.3183, 0.7500], [0.1441, 0.2968, 0.6484], [0.2968, 0.1441, 0.1484], [0.7032, 0.8559, 0.8516], [0.8559, 0.7032, 0.3516]],
  "e_form_raw_ev_per_atom": -0.97
}


no.,E (eV/atom),DOS(E_F) (states/eV per cell),magnetic moment (Bohr magnetons per cell)
1,-5.3103,4.3,0.00
2,-7.5768,12.5,0.00
3,-5.7656,5.3,0.00
4,-4.6632,9.5,0.00
5,-4.4959,6.5,0.77
6,-5.1200,3.1,0.00
7,-5.5280,2.2,0.00
8,-5.1375,2.4,0.00
9,-6.4908,7.8,0.73
10,-1.3520,1.7,0.00
11,-1.3574,3.1,0.00
12,-4.6247,18.5,0.95
13,-8.2405,4.3,0.00
14,-7.8990,5.6,0.00
15,-4.2104,2.9,0.00
16,-4.5553,15.0,0.00
17,-5.5852,0.0,0.00